Entry 1:
First-principles (GGA-PBE) data for a relaxed structure of HfGaNiAg, as listed in OQMD via LeMat-Bulk.

Unit cell a=4.499 b=4.499 c=4.499 alpha=60.00 beta=60.00 gamma=60.00
Fractional coordinates of all 4 atoms:
Hf1 0.000 0.000 0.000
Ga1 0.250 0.250 0.250
Ni1 0.500 0.500 0.500
Ag1 0.750 0.750 0.750

Summary:
- Symmetry: F-43m, No. 216



Entry 2:
First-principles (GGA-PBE) data for a relaxed structure of GdBeIr, as listed in OQMD via LeMat-Bulk.

Unit cell a=4.439 b=4.439 c=4.439 alpha=60.00 beta=60.00 gamma=60.00
Fractional coordinates of all 3 atoms:
Gd1 0.000 0.000 0.000
Be1 0.500 0.500 0.500
Ir1 0.250 0.250 0.250

Summary:
- Symmetry: F-43m, No. 216



Entry 3:
First-principles (GGA-PBE) data for a relaxed structure of ZrBi2Os, as listed in OQMD via LeMat-Bulk.

Unit cell a=5.054 b=5.054 c=5.054 alpha=60.00 beta=60.00 gamma=60.00
Fractional coordinates of all 4 atoms:
Zr1 0.000 0.000 0.000
Bi1 0.250 0.250 0.250
Bi2 0.500 0.500 0.500
Os1 0.750 0.750 0.750

Summary:
- Symmetry: F-43m, No. 216



Entry 4:
First-principles (GGA-PBE) data for a relaxed structure of KGdYCu2, as listed in OQMD via LeMat-Bulk.

Unit cell a=3.772 b=9.046 c=9.046 alpha=27.72 beta=90.00 gamma=90.00
Fractional coordinates of all 5 atoms:
K1 0.000 0.000 0.000
Gd1 0.500 0.330 0.330
Y1 0.500 0.669 0.669
Cu1 0.000 0.206 0.206
Cu2 0.000 0.793 0.793

Summary:
- Symmetry: Amm2, No. 38



Entry 5:
First-principles (GGA-PBE) data for a relaxed structure of NbBW2, as listed in OQMD via LeMat-Bulk.

Unit cell a=4.355 b=4.355 c=4.355 alpha=60.00 beta=60.00 gamma=60.00
Fractional coordinates of all 4 atoms:
Nb1 0.000 0.000 0.000
B1 0.750 0.750 0.750
W1 0.250 0.250 0.250
W2 0.500 0.500 0.500

Summary:
- Symmetry: F-43m, No. 216



Entry 6:
First-principles (GGA-PBE) data for a relaxed structure of NbCoSb, as listed in OQMD via LeMat-Bulk.

Unit cell a=6.787 b=6.787 c=3.755 alpha=90.00 beta=90.00 gamma=120.00
Fractional coordinates of all 9 atoms:
Nb1 0.000 0.616 0.000
Nb2 0.384 0.384 0.000
Nb3 0.616 0.000 0.000
Co1 0.000 0.000 0.000
Co2 0.333 0.667 0.500
Co3 0.667 0.333 0.500
Sb1 0.000 0.281 0.500
Sb2 0.281 0.000 0.500
Sb3 0.719 0.719 0.500

Summary:
- Symmetry: P-62m, No. 189



Entry 7:
First-principles (GGA-PBE) data for a relaxed structure of ZnGa2Se2S2, as listed in OQMD via LeMat-Bulk.

Unit cell a=6.587 b=6.587 c=5.466 alpha=113.89 beta=113.89 gamma=108.97
Fractional coordinates of all 7 atoms:
Zn1 0.000 0.000 0.000
Ga1 0.259 0.741 0.500
Ga2 0.501 0.499 0.000
Se1 0.411 0.133 0.505
Se2 0.867 0.589 0.495
S1 0.126 0.379 0.996
S2 0.621 0.874 0.004

Summary:
- Symmetry: C2, No. 5



Entry 8:
First-principles (GGA-PBE) data for a relaxed structure of YSnTeAuS2, as listed in OQMD via LeMat-Bulk.

Unit cell a=7.172 b=7.172 c=11.341 alpha=90.00 beta=90.00 gamma=146.99
Fractional coordinates of all 12 atoms:
Y1 0.000 0.000 0.000
Y2 0.000 0.000 0.500
Sn1 0.233 0.767 0.750
Sn2 0.767 0.233 0.250
Te1 0.100 0.900 0.250
Te2 0.900 0.100 0.750
Au1 0.434 0.566 0.250
Au2 0.566 0.434 0.750
S1 0.371 0.629 0.051
S2 0.371 0.629 0.449
S3 0.629 0.371 0.551
S4 0.629 0.371 0.949

Summary:
- Symmetry: Cmcm, No. 63



Number 1: volume 64 Å³/f.u., E -21.89 eV per cell. Number 2: volume 62 Å³/f.u., E -17.62 eV per cell. Number 3: volume 91 Å³/f.u., E -25.81 eV per cell. Number 4: volume 144 Å³/f.u., E -19.68 eV per cell. Number 5: volume 58 Å³/f.u., E -40.28 eV per cell. Number 6: volume 50 Å³/f.u., E -64.60 eV per cell. Number 7: volume 161 Å³/f.u., E -27.34 eV per cell. Number 8: volume 159 Å³/f.u., E -59.98 eV per cell.